# 1
! GGA-PBE SrNiBiH2, relaxed; values from VASP
! Calculated volume ... 81.5 Å³/f.u.
! DFT total energy ... -0.1448 hartree per atom
! M_tot ... 0.00 μB per formula unit
&SYSTEM
  ibrav = 0, nat = 10, ntyp = 4
/
ATOMIC_SPECIES
Sr 87.62 Sr.upf
Ni 58.69 Ni.upf
Bi 208.98 Bi.upf
H 1.01 H.upf
CELL_PARAMETERS angstrom
-1.239 -3.989 0.244
3.363 1.457 5.028
-5.537 1.912 3.149
ATOMIC_POSITIONS angstrom
Sr -3.655 -0.780 4.581
Sr 0.242 0.159 3.840
Ni 0.000 0.000 0.000
Ni -2.769 0.956 1.575
Bi -1.793 0.971 6.792
Bi -1.621 -1.592 1.628
H -4.575 1.690 4.405
H 1.162 -2.310 4.016
H -2.256 0.889 3.086
H -1.157 -1.509 5.335

# 2
! GGA-PBE TlNiBi2H, relaxed; values from VASP
! Calculated volume ... 106.7 Å³/f.u.
! DFT total energy ... -0.1347 hartree per atom
! M_tot ... 0.00 μB per formula unit
&SYSTEM
  ibrav = 0, nat = 5, ntyp = 4
/
ATOMIC_SPECIES
Ni 58.69 Ni.upf
Tl 204.38 Tl.upf
Bi 208.98 Bi.upf
H 1.01 H.upf
CELL_PARAMETERS angstrom
5.588 0.000 0.000
0.000 5.588 0.000
0.000 0.000 3.417
ATOMIC_POSITIONS angstrom
Ni 0.000 0.000 0.000
Tl 2.794 2.794 1.709
Bi 0.000 2.794 0.000
Bi 2.794 0.000 0.000
H 0.000 0.000 1.709

# 3
! GGA-PBE Np4Bi2H9, relaxed; values from VASP
! Calculated volume ... 194.0 Å³/f.u.
! DFT total energy ... -0.2266 hartree per atom
! M_tot ... 15.45 μB per formula unit
&SYSTEM
  ibrav = 0, nat = 15, ntyp = 3
/
ATOMIC_SPECIES
Np 237.00 Np.upf
Bi 208.98 Bi.upf
H 1.01 H.upf
CELL_PARAMETERS angstrom
3.712 0.000 0.000
-1.856 3.215 0.000
0.000 0.000 16.253
ATOMIC_POSITIONS angstrom
Np 0.000 2.143 6.644
Np 1.856 1.072 9.609
Np 1.856 1.072 14.677
Np 0.000 2.143 1.576
Bi 0.000 2.143 12.202
Bi 1.856 1.072 4.051
H 3.712 0.000 6.043
H 3.712 0.000 10.210
H 0.000 0.000 14.742
H 0.000 0.000 1.511
H 0.000 2.143 8.915
H 1.856 1.072 7.338
H 1.856 1.072 0.697
H 0.000 2.143 15.556
H -1.856 3.215 8.126

# 4
! GGA-PBE NpBiH, relaxed; values from VASP
! Calculated volume ... 60.7 Å³/f.u.
! DFT total energy ... -0.2410 hartree per atom
! E above lowest polymorph ... 0.2815 eV/atom
! M_tot ... 1.58 μB per formula unit
&SYSTEM
  ibrav = 0, nat = 6, ntyp = 3
/
ATOMIC_SPECIES
Np 237.00 Np.upf
H 1.01 H.upf
Bi 208.98 Bi.upf
CELL_PARAMETERS angstrom
-3.064 -2.506 0.062
0.630 -0.878 -4.337
4.239 -5.140 1.657
ATOMIC_POSITIONS angstrom
Np 1.706 -2.125 -1.625
Np 3.163 -3.893 -1.055
H -0.334 -2.763 -1.792
H 2.139 -5.761 -0.825
Bi 0.000 0.000 0.000
Bi 0.587 -3.823 0.860

# 5
! GGA-PBE NpBiH, relaxed; values from VASP
! Calculated volume ... 60.7 Å³/f.u.
! DFT total energy ... -0.2513 hartree per atom
! E above lowest polymorph ... 0.0000 eV/atom
! M_tot ... 3.90 μB per formula unit
&SYSTEM
  ibrav = 0, nat = 3, ntyp = 3
/
ATOMIC_SPECIES
Np 237.00 Np.upf
H 1.01 H.upf
Bi 208.98 Bi.upf
CELL_PARAMETERS angstrom
-4.083 -0.930 2.404
1.630 -3.054 1.587
0.237 3.392 1.715
ATOMIC_POSITIONS angstrom
Np 0.484 -1.061 2.031
H -0.679 -0.155 0.399
Bi -2.022 0.623 3.275

# 6
! GGA-PBE NpBiH, relaxed; values from VASP
! Calculated volume ... 62.9 Å³/f.u.
! DFT total energy ... -0.2425 hartree per atom
! E above lowest polymorph ... 0.2394 eV/atom
! M_tot ... 4.17 μB per formula unit
&SYSTEM
  ibrav = 0, nat = 6, ntyp = 3
/
ATOMIC_SPECIES
Np 237.00 Np.upf
Bi 208.98 Bi.upf
H 1.01 H.upf
CELL_PARAMETERS angstrom
-2.999 -0.661 0.491
1.004 -5.498 -1.263
2.397 1.768 7.177
ATOMIC_POSITIONS angstrom
Np -1.205 -0.606 1.675
Np 1.607 -3.785 4.729
Bi 0.959 -3.176 1.586
Bi -0.557 -1.215 4.818
H 0.834 -4.566 -1.049
H -0.432 0.174 7.452

# 7
! GGA-PBE NpBiH, relaxed; values from VASP
! Calculated volume ... 74.6 Å³/f.u.
! DFT total energy ... -0.2286 hartree per atom
! E above lowest polymorph ... 0.6186 eV/atom
! M_tot ... 4.56 μB per formula unit
&SYSTEM
  ibrav = 0, nat = 3, ntyp = 3
/
ATOMIC_SPECIES
Np 237.00 Np.upf
H 1.01 H.upf
Bi 208.98 Bi.upf
CELL_PARAMETERS angstrom
-0.737 1.920 -3.980
3.969 -1.487 -1.453
-3.228 -3.340 1.508
ATOMIC_POSITIONS angstrom
Np 1.081 -0.820 -3.117
H 0.162 -2.599 -3.806
Bi -0.752 -1.457 -0.564

# 8
! GGA-PBE Np2BiH2, relaxed; values from VASP
! Calculated volume ... 86.5 Å³/f.u.
! DFT total energy ... -0.2748 hartree per atom
! M_tot ... 8.98 μB per formula unit
&SYSTEM
  ibrav = 0, nat = 5, ntyp = 3
/
ATOMIC_SPECIES
Np 237.00 Np.upf
Bi 208.98 Bi.upf
H 1.01 H.upf
CELL_PARAMETERS angstrom
-0.373 3.713 1.832
-1.337 -1.849 3.475
3.862 0.599 4.292
ATOMIC_POSITIONS angstrom
Np 1.514 1.637 6.428
Np 0.638 0.826 3.171
Bi 0.000 0.000 0.000
H 0.835 -0.157 5.210
H 1.317 2.620 4.389